First-principles (GGA-PBE) data for a relaxed Y2ZrVCo crystal, as listed in the Alexandria database. Values from VASP.

```
&SYSTEM
  ibrav = 0, nat = 5, ntyp = 4
/
ATOMIC_SPECIES
Y 88.91 Y.upf
Co 58.93 Co.upf
Zr 91.22 Zr.upf
V 50.94 V.upf
ATOMIC_POSITIONS crystal
Y 0.000 0.000 0.500
Y 0.500 0.000 0.000
Co 0.500 0.500 0.500
Zr 0.000 0.500 0.000
V 0.000 0.000 0.000
CELL_PARAMETERS angstrom
5.121 0.000 0.000
0.000 4.769 0.000
0.000 0.000 5.121
```

## Properties
**Size of the total moment**: 0.001 μB per formula unit
**Space group**: P4/mmm (123)
**Formation enthalpy at 0 K**: 0.9755 eV/atom

---

First-principles (GGA-PBE) data for a relaxed VZn2Co crystal, as listed in the Alexandria database. Values from VASP.

```
&SYSTEM
  ibrav = 0, nat = 4, ntyp = 3
/
ATOMIC_SPECIES
Zn 65.41 Zn.upf
Co 58.93 Co.upf
V 50.94 V.upf
ATOMIC_POSITIONS crystal
Zn 0.250 0.250 0.250
Zn 0.750 0.750 0.750
Co 0.500 0.500 0.500
V 0.000 0.000 0.000
CELL_PARAMETERS angstrom
-1.617 1.601 3.496
-4.080 0.840 0.217
-2.484 -2.331 2.408
```

## Properties
**Size of the total moment**: 0.477 μB per formula unit
**Space group**: Fm-3m (225)
**Formation enthalpy at 0 K**: 0.1238 eV/atom
**Distance to the lowest polymorph of the same formula**: 0.089 eV per atom

---

First-principles (GGA-PBE) data for a relaxed V2ZnCo4 crystal, as listed in the Alexandria database. Values from VASP.

```
&SYSTEM
  ibrav = 0, nat = 7, ntyp = 3
/
ATOMIC_SPECIES
V 50.94 V.upf
Zn 65.41 Zn.upf
Co 58.93 Co.upf
ATOMIC_POSITIONS crystal
V 0.603 0.603 0.206
V 0.397 0.397 0.794
Zn 0.000 0.000 0.000
Co 0.145 0.145 0.290
Co 0.855 0.855 0.710
Co 0.750 0.250 0.500
Co 0.250 0.750 0.500
CELL_PARAMETERS angstrom
3.166 0.000 -0.794
-0.199 3.160 -0.794
0.457 0.487 8.534
```

## Properties
**Size of the total moment**: 1.933 μB per formula unit
**Space group**: I4/mmm (139)
**Formation enthalpy at 0 K**: 0.1495 eV/atom
**Distance to the lowest polymorph of the same formula**: 0.000 eV per atom